# Rb3Li2Pb4 GGA-PBE relaxed
# DFT total energy = -2.528 eV per atom
# calculated volume = 354.65 Å³/cell
# energy of formation from the pure elements = -0.132 eV/atom
data_Rb3Li2Pb4
_chemical_formula_sum 'Rb3 Li2 Pb4'
_symmetry_space_group_name_H-M 'P 1'
_symmetry_Int_Tables_number 1
_cell_length_a 5.1030
_cell_length_b 7.4292
_cell_length_c 10.4786
_cell_angle_alpha 106.94
_cell_angle_beta 90.28
_cell_angle_gamma 110.01
loop_
_symmetry_equiv_pos_as_xyz
'x,y,z'
loop_
_atom_site_label
_atom_site_fract_x
_atom_site_fract_y
_atom_site_fract_z
_atom_site_occupancy
Rb1 0.0000 0.0000 0.0000 1
Rb2 0.3734 0.7433 0.6129 1
Rb3 0.6266 0.2567 0.3871 1
Li1 0.3404 0.6803 0.2147 1
Li2 0.6596 0.3197 0.7853 1
Pb1 0.0832 0.1702 0.6463 1
Pb2 0.2710 0.5441 0.9149 1
Pb3 0.7290 0.4559 0.0851 1
Pb4 0.9168 0.8298 0.3537 1